Below is a relaxed structure of ScIn2W, with properties calculated at the PBEsol level.

Relative energy among the computed polymorphs (meV per atom): 73.0
Energy of formation from the pure elements (eV/atom): 0.22
Energy (eV/atom): -6.37

Unit cell a=3.6219 b=3.6219 c=6.0176 alpha=90.00 beta=90.00 gamma=90.00
Atoms (fractional coordinates):
1 In 0.5000 0.5000 0.2506
2 In 0.0000 0.0000 0.9860
3 W 0.5000 0.5000 0.7393
4 Sc 0.0000 0.0000 0.5241

Below is a relaxed structure of ScIn2W, with properties calculated at the PBEsol level.

Relative energy among the computed polymorphs (meV per atom): 0.0
Energy of formation from the pure elements (eV/atom): 0.15
Energy (eV/atom): -6.44

Unit cell a=2.9895 b=5.1054 c=5.4231 alpha=98.47 beta=90.00 gamma=107.02
Atoms (fractional coordinates):
1 Sc 0.5000 0.0000 0.0000
2 W 0.0000 0.0000 0.5000
3 In 0.2558 0.5115 0.2635
4 In 0.7442 0.4885 0.7365

Below is a relaxed structure of Sc3InW, with properties calculated at the PBEsol level.

Energy of formation from the pure elements (eV/atom): 0.52
Energy (eV/atom): -6.80

Unit cell a=5.0078 b=5.0078 c=5.0078 alpha=90.00 beta=90.00 gamma=90.00
Atoms (fractional coordinates):
1 Sc 0.5000 0.0000 0.0000
2 Sc 0.0000 0.5000 0.0000
3 In 0.5000 0.5000 0.5000
4 W 0.0000 0.0000 0.0000
5 Sc 0.0000 0.0000 0.5000

Below is a relaxed structure of ScIn2W, with properties calculated at the PBEsol level.

Relative energy among the computed polymorphs (meV per atom): 25.7
Energy of formation from the pure elements (eV/atom): 0.18
Energy (eV/atom): -6.42

Unit cell a=2.9702 b=2.9702 c=8.7243 alpha=90.00 beta=90.00 gamma=90.09
Atoms (fractional coordinates):
1 Sc 0.5000 0.5000 0.5000
2 In 0.0000 0.0000 0.2374
3 W 0.5000 0.5000 0.0000
4 In 0.0000 0.0000 0.7626

Below is a relaxed structure of Y2ScIn, with properties calculated at the PBEsol level.

Energy of formation from the pure elements (eV/atom): -0.15
Energy (eV/atom): -5.96

Unit cell a=5.2444 b=5.2444 c=5.2444 alpha=60.00 beta=60.00 gamma=60.00
Atoms (fractional coordinates):
1 Y 0.7500 0.7500 0.7500
2 Sc 0.2500 0.2500 0.2500
3 In 0.5000 0.5000 0.5000
4 Y 0.0000 0.0000 0.0000

Below is a relaxed structure of Y2ScIn, with properties calculated at the PBEsol level.

Energy of formation from the pure elements (eV/atom): -0.27
Energy (eV/atom): -6.08

Unit cell a=3.5311 b=4.5048 c=6.5587 alpha=90.00 beta=90.00 gamma=90.00
Atoms (fractional coordinates):
1 Sc 0.5000 0.5000 0.5000
2 Y 0.0000 0.0000 0.7525
3 Y 0.0000 0.0000 0.2475
4 In 0.5000 0.5000 0.0000